PBE Er4TmLu2Te2Pd2, optimized geometry; SG = No. 44; final energy = -57.772 eV/cell; total moment = 0.02 μB per formula unit
1.0
-1.948 7.754 4.767
1.948 -7.754 4.767
1.948 7.754 -4.767
Te Er Pd Lu Tm
2 4 2 2 1
Cartesian
0.000 0.000 3.218 Te
0.000 7.754 2.245 Te
0.000 2.018 5.557 Er
1.948 2.228 2.228 Er
1.948 -2.228 2.228 Er
1.948 5.736 0.790 Er
0.000 3.657 0.642 Pd
0.000 11.851 0.642 Pd
1.948 2.833 -1.202 Lu
0.000 4.920 3.565 Lu
0.000 0.000 9.532 Tm